No. 1
The following is a GGA-PBE calculation of an optimized crystal structure of Cu2Mo, from Alexandria.

Cell and atoms, written as extended XYZ:
```
12
Lattice="6.115 0.000 0.000 0.000 6.115 0.000 0.000 0.000 4.796" Properties=species:S:1:pos:R:3 pbc="T T T"
Cu 0.844 2.213 0.000
Cu 0.844 3.902 2.398
Cu 2.213 0.844 2.398
Cu 2.213 5.271 0.000
Cu 3.902 0.844 0.000
Cu 3.902 5.271 2.398
Cu 5.271 2.213 2.398
Cu 5.271 3.902 0.000
Mo 0.000 0.000 1.199
Mo 0.000 0.000 3.597
Mo 3.058 3.058 1.199
Mo 3.058 3.058 3.597
```

## Properties
Calculated formation energy: 0.686 eV/atom
Crystal system: tetragonal
Spin magnetization: 0.2 μB/f.u.

No. 2
The following is a GGA-PBE calculation of an optimized crystal structure of Na2Tl3SnI6, from Alexandria.

Cell and atoms, written as extended XYZ:
```
12
Lattice="3.951 -6.929 0.000 3.951 6.929 0.000 -2.712 0.000 8.693" Properties=species:S:1:pos:R:3 pbc="T T T"
Na 3.951 4.640 0.000
Na 3.951 -4.640 0.000
Tl -1.356 0.000 4.346
Tl 2.595 2.347 4.346
Tl 2.595 -2.347 4.346
Sn 3.951 0.000 0.000
I -0.050 2.295 6.787
I 1.329 0.000 1.921
I -0.050 -2.295 6.787
I 5.239 2.295 1.905
I 3.860 0.000 6.772
I 5.239 -2.295 1.905
```

## Properties
Formation energy (no corrections): -0.699 eV/atom
Crystal system: monoclinic
Spin magnetization: 0.0 μB/f.u.

No. 3
The following is a GGA-PBE calculation of an optimized crystal structure of BaZrCdHg2, from Alexandria.

Cell and atoms, written as extended XYZ:
```
5
Lattice="5.422 0.000 0.000 0.000 5.422 0.000 0.000 0.000 6.074" Properties=species:S:1:pos:R:3 pbc="T T T"
Ba 0.000 0.000 0.000
Zr 2.711 2.711 0.000
Cd 0.000 0.000 3.037
Hg 0.000 2.711 3.037
Hg 2.711 0.000 3.037
```

## Properties
Calculated formation energy: 0.712 eV/atom
Crystal system: tetragonal
Spin magnetization: 2.8 μB/f.u.

No. 4
The following is a GGA-PBE calculation of an optimized crystal structure of Gd2LuCd, from Alexandria.

Cell and atoms, written as extended XYZ:
```
16
Lattice="7.690 0.000 0.000 0.000 7.690 0.000 0.000 0.000 7.690" Properties=species:S:1:pos:R:3 pbc="T T T"
Gd 1.922 1.922 1.922
Gd 1.922 1.922 5.767
Gd 1.922 5.767 1.922
Gd 1.922 5.767 5.767
Gd 5.767 1.922 1.922
Gd 5.767 1.922 5.767
Gd 5.767 5.767 1.922
Gd 5.767 5.767 5.767
Lu 0.000 0.000 0.000
Lu 0.000 3.845 3.845
Lu 3.845 0.000 3.845
Lu 3.845 3.845 0.000
Cd 0.000 0.000 3.845
Cd 0.000 3.845 0.000
Cd 3.845 0.000 0.000
Cd 3.845 3.845 3.845
```

## Properties
ΔE to the lowest computed polymorph: 0.31 eV/f.u.
Calculated formation energy: -0.060 eV/atom
Crystal system: cubic
Spin magnetization: 15.0 μB/f.u.